Computed, not measured: an optimized crystal structure of TaIn2Mo at the PBE level of DFT.

a = 2.911 Å, b = 4.502 Å, c = 5.813 Å
α = 90.00°, β = 90.00°, γ = 90.00°
Sites, in units of the cell vectors:
Ta (0.000, 0.000, 0.000)
In (0.500, 0.500, 0.254)
In (0.500, 0.500, 0.746)
Mo (0.000, 0.000, 0.500)

Values from the calculation:
- E: -6.6662 eV/atom
- Relative energy among the computed polymorphs: 0.1824 eV/atom
- ΔE_f: 0.3740 eV/atom

Computed, not measured: an optimized crystal structure of TmNi5As3 at the PBE level of DFT.

a = 6.536 Å, b = 6.536 Å, c = 11.175 Å
α = 90.00°, β = 90.00°, γ = 146.67°
Sites, in units of the cell vectors:
Tm (0.198, 0.802, 0.750)
Tm (0.802, 0.198, 0.250)
Ni (0.000, 0.000, 0.000)
Ni (0.000, 0.000, 0.500)
Ni (0.196, 0.804, 0.053)
Ni (0.196, 0.804, 0.447)
Ni (0.435, 0.565, 0.637)
Ni (0.435, 0.565, 0.863)
Ni (0.565, 0.435, 0.137)
Ni (0.565, 0.435, 0.363)
Ni (0.804, 0.196, 0.553)
Ni (0.804, 0.196, 0.947)
As (0.116, 0.884, 0.250)
As (0.382, 0.618, 0.065)
As (0.382, 0.618, 0.435)
As (0.618, 0.382, 0.565)
As (0.618, 0.382, 0.935)
As (0.884, 0.116, 0.750)

Values from the calculation:
- E: -5.7547 eV/atom
- ΔE_f: -0.4962 eV/atom

Computed, not measured: an optimized crystal structure of Fe3PtRh2 at the PBE level of DFT.

a = 2.704 Å, b = 2.704 Å, c = 11.040 Å
α = 90.00°, β = 90.00°, γ = 90.00°
Sites, in units of the cell vectors:
Fe (0.000, 0.000, 0.000)
Fe (0.000, 0.000, 0.329)
Fe (0.000, 0.000, 0.671)
Pt (0.500, 0.500, 0.500)
Rh (0.500, 0.500, 0.164)
Rh (0.500, 0.500, 0.836)

Values from the calculation:
- E: -7.7905 eV/atom
- ΔE_f: -0.1019 eV/atom

Computed, not measured: an optimized crystal structure of LiCe2Pb6 at the PBE level of DFT.

a = 7.234 Å, b = 4.901 Å, c = 8.455 Å
α = 90.00°, β = 115.25°, γ = 90.00°
Sites, in units of the cell vectors:
Li (0.000, 0.000, 0.000)
Ce (0.227, 0.500, 0.453)
Ce (0.773, 0.500, 0.547)
Pb (0.132, 0.000, 0.705)
Pb (0.272, 0.500, 0.000)
Pb (0.428, 0.000, 0.295)
Pb (0.572, 0.000, 0.705)
Pb (0.728, 0.500, 0.000)
Pb (0.868, 0.000, 0.295)

Values from the calculation:
- E: -4.1880 eV/atom
- ΔE_f: -0.1845 eV/atom

Computed, not measured: an optimized crystal structure of Mn2CdAu at the PBE level of DFT.

a = 2.904 Å, b = 2.904 Å, c = 27.929 Å
α = 90.00°, β = 90.00°, γ = 120.00°
Sites, in units of the cell vectors:
Mn (0.000, 0.000, 0.000)
Mn (0.000, 0.000, 0.259)
Mn (0.333, 0.667, 0.667)
Mn (0.333, 0.667, 0.926)
Mn (0.667, 0.333, 0.333)
Mn (0.667, 0.333, 0.593)
Cd (0.000, 0.000, 0.505)
Cd (0.333, 0.667, 0.172)
Cd (0.667, 0.333, 0.839)
Au (0.000, 0.000, 0.747)
Au (0.333, 0.667, 0.413)
Au (0.667, 0.333, 0.080)

Values from the calculation:
- E: -5.3940 eV/atom
- ΔE_f: 0.2389 eV/atom

Computed, not measured: an optimized crystal structure of Tm8CoRu2 at the PBE level of DFT.

a = 8.850 Å, b = 8.850 Å, c = 6.727 Å
α = 107.17°, β = 107.17°, γ = 31.28°
Sites, in units of the cell vectors:
Tm (0.030, 0.030, 0.295)
Tm (0.204, 0.204, 0.812)
Tm (0.334, 0.334, 0.538)
Tm (0.405, 0.405, 0.052)
Tm (0.595, 0.595, 0.948)
Tm (0.666, 0.666, 0.462)
Tm (0.796, 0.796, 0.188)
Tm (0.970, 0.970, 0.705)
Co (0.500, 0.500, 0.500)
Ru (0.183, 0.183, 0.199)
Ru (0.817, 0.817, 0.801)

Values from the calculation:
- E: -5.8397 eV/atom
- Relative energy among the computed polymorphs: 0.0000 eV/atom
- ΔE_f: -0.2552 eV/atom

Computed, not measured: an optimized crystal structure of Mg2BBr at the PBE level of DFT.

a = 6.279 Å, b = 6.279 Å, c = 9.599 Å
α = 90.00°, β = 90.00°, γ = 90.00°
Sites, in units of the cell vectors:
Mg (0.188, 0.250, 0.125)
Mg (0.250, 0.688, 0.375)
Mg (0.250, 0.812, 0.875)
Mg (0.312, 0.250, 0.625)
Mg (0.688, 0.750, 0.625)
Mg (0.750, 0.188, 0.875)
Mg (0.750, 0.312, 0.375)
Mg (0.812, 0.750, 0.125)
B (0.000, 0.000, 0.000)
B (0.000, 0.500, 0.250)
B (0.500, 0.000, 0.750)
B (0.500, 0.500, 0.500)
Br (0.000, 0.000, 0.500)
Br (0.000, 0.500, 0.750)
Br (0.500, 0.000, 0.250)
Br (0.500, 0.500, 0.000)

Values from the calculation:
- E_form (uncorrected): 211 meV per atom
- E: -2.6739 eV/atom
- Relative energy among the computed polymorphs: 0.0000 eV/atom

Computed, not measured: an optimized crystal structure of SrLi2Be at the PBE level of DFT.

a = 4.140 Å, b = 4.724 Å, c = 5.243 Å
α = 90.00°, β = 100.16°, γ = 90.00°
Sites, in units of the cell vectors:
Sr (0.000, 0.000, 0.000)
Li (0.324, 0.500, 0.672)
Li (0.676, 0.500, 0.328)
Be (0.500, 0.000, 0.500)

Values from the calculation:
- E: -1.9296 eV/atom
- ΔE_f: 0.3793 eV/atom

Computed, not measured: an optimized crystal structure of TaTcP3 at the PBE level of DFT.

a = 4.550 Å, b = 4.550 Å, c = 4.550 Å
α = 90.00°, β = 90.00°, γ = 90.00°
Sites, in units of the cell vectors:
Ta (0.000, 0.000, 0.000)
Tc (0.500, 0.500, 0.500)
P (0.000, 0.500, 0.500)
P (0.500, 0.000, 0.500)
P (0.500, 0.500, 0.000)

Values from the calculation:
- E: -6.6633 eV/atom
- Relative energy among the computed polymorphs: 0.0615 eV/atom
- ΔE_f: 1.0264 eV/atom

Computed, not measured: an optimized crystal structure of CaSc2Cu at the PBE level of DFT.

a = 7.197 Å, b = 7.197 Å, c = 7.197 Å
α = 90.00°, β = 90.00°, γ = 90.00°
Sites, in units of the cell vectors:
Ca (0.000, 0.000, 0.000)
Ca (0.000, 0.500, 0.500)
Ca (0.500, 0.000, 0.500)
Ca (0.500, 0.500, 0.000)
Sc (0.000, 0.000, 0.500)
Sc (0.000, 0.500, 0.000)
Sc (0.250, 0.250, 0.750)
Sc (0.250, 0.750, 0.250)
Sc (0.500, 0.000, 0.000)
Sc (0.500, 0.500, 0.500)
Sc (0.750, 0.250, 0.250)
Sc (0.750, 0.750, 0.750)
Cu (0.250, 0.250, 0.250)
Cu (0.250, 0.750, 0.750)
Cu (0.750, 0.250, 0.750)
Cu (0.750, 0.750, 0.250)

Values from the calculation:
- E: -4.4138 eV/atom
- ΔE_f: 0.2764 eV/atom

Computed, not measured: an optimized crystal structure of Ge2IrSe2 at the PBE level of DFT.

a = 12.232 Å, b = 12.232 Å, c = 12.232 Å
α = 160.05°, β = 160.05°, γ = 28.36°
Sites, in units of the cell vectors:
Ge (0.058, 0.308, 0.750)
Ge (0.308, 0.058, 0.250)
Ge (0.692, 0.942, 0.750)
Ge (0.942, 0.692, 0.250)
Ir (0.125, 0.875, 0.250)
Ir (0.875, 0.125, 0.750)
Se (0.185, 0.435, 0.750)
Se (0.435, 0.185, 0.250)
Se (0.565, 0.815, 0.750)
Se (0.815, 0.565, 0.250)

Values from the calculation:
- E_form (uncorrected): 34 meV per atom
- E: -4.9790 eV/atom

Computed, not measured: an optimized crystal structure of Ac3DyRu at the PBE level of DFT.

a = 5.771 Å, b = 5.771 Å, c = 5.771 Å
α = 90.00°, β = 90.00°, γ = 90.00°
Sites, in units of the cell vectors:
Ac (0.000, 0.000, 0.500)
Ac (0.000, 0.500, 0.000)
Ac (0.500, 0.000, 0.000)
Dy (0.500, 0.500, 0.500)
Ru (0.000, 0.000, 0.000)

Values from the calculation:
- E: -5.2275 eV/atom
- ΔE_f: 0.0131 eV/atom

Computed, not measured: an optimized crystal structure of LiCa2Ir2 at the PBE level of DFT.

a = 5.245 Å, b = 5.245 Å, c = 8.520 Å
α = 100.40°, β = 100.40°, γ = 65.14°
Sites, in units of the cell vectors:
Li (0.113, 0.887, 0.750)
Li (0.887, 0.113, 0.250)
Ca (0.213, 0.479, 0.347)
Ca (0.479, 0.213, 0.847)
Ca (0.521, 0.787, 0.153)
Ca (0.787, 0.521, 0.653)
Ir (0.002, 0.256, 0.007)
Ir (0.256, 0.002, 0.507)
Ir (0.744, 0.998, 0.493)
Ir (0.998, 0.744, 0.993)

Values from the calculation:
- E: -5.0276 eV/atom
- Relative energy among the computed polymorphs: 0.0762 eV/atom
- ΔE_f: -0.2999 eV/atom

Computed, not measured: an optimized crystal structure of Rb2Na5Pb2 at the PBE level of DFT.

a = 11.983 Å, b = 11.983 Å, c = 11.983 Å
α = 60.94°, β = 136.77°, γ = 139.21°
Sites, in units of the cell vectors:
Rb (0.036, 0.121, 0.158)
Rb (0.036, 0.379, 0.415)
Rb (0.964, 0.621, 0.585)
Rb (0.964, 0.879, 0.842)
Na (0.089, 0.523, 0.066)
Na (0.131, 0.348, 0.813)
Na (0.131, 0.818, 0.283)
Na (0.458, 0.023, 0.934)
Na (0.496, 0.194, 0.606)
Na (0.496, 0.390, 0.803)
Na (0.535, 0.318, 0.187)
Na (0.535, 0.848, 0.717)
Na (0.588, 0.694, 0.197)
Na (0.588, 0.890, 0.394)
Pb (0.074, 0.026, 0.548)
Pb (0.478, 0.526, 0.452)
Pb (0.637, 0.137, 0.500)
Pb (0.637, 0.637, 0.000)

Values from the calculation:
- E: -1.8113 eV/atom
- ΔE_f: -0.0394 eV/atom

Computed, not measured: an optimized crystal structure of SrZn2Au2 at the PBE level of DFT.

a = 4.319 Å, b = 4.319 Å, c = 11.863 Å
α = 90.00°, β = 90.00°, γ = 90.00°
Sites, in units of the cell vectors:
Sr (0.000, 0.000, 0.000)
Sr (0.500, 0.500, 0.500)
Zn (0.000, 0.500, 0.250)
Zn (0.000, 0.500, 0.750)
Zn (0.500, 0.000, 0.250)
Zn (0.500, 0.000, 0.750)
Au (0.000, 0.000, 0.381)
Au (0.000, 0.000, 0.619)
Au (0.500, 0.500, 0.119)
Au (0.500, 0.500, 0.881)

Values from the calculation:
- E: -2.6727 eV/atom
- Relative energy among the computed polymorphs: 0.0004 eV/atom
- ΔE_f: -0.5158 eV/atom

Computed, not measured: an optimized crystal structure of KTaPt at the PBE level of DFT.

a = 2.843 Å, b = 4.143 Å, c = 13.197 Å
α = 90.00°, β = 90.00°, γ = 90.00°
Sites, in units of the cell vectors:
K (0.000, 0.000, 0.000)
K (0.500, 0.500, 0.500)
Ta (0.000, 0.000, 0.271)
Ta (0.500, 0.500, 0.771)
Pt (0.000, 0.000, 0.703)
Pt (0.500, 0.500, 0.203)

Values from the calculation:
- E: -6.0633 eV/atom
- Relative energy among the computed polymorphs: 0.0365 eV/atom
- ΔE_f: 0.2670 eV/atom

Computed, not measured: an optimized crystal structure of MgCrFe at the PBE level of DFT.

a = 5.844 Å, b = 5.844 Å, c = 5.844 Å
α = 90.00°, β = 90.00°, γ = 90.00°
Sites, in units of the cell vectors:
Mg (0.000, 0.000, 0.000)
Mg (0.000, 0.500, 0.500)
Mg (0.500, 0.000, 0.500)
Mg (0.500, 0.500, 0.000)
Cr (0.000, 0.000, 0.500)
Cr (0.000, 0.500, 0.000)
Cr (0.500, 0.000, 0.000)
Cr (0.500, 0.500, 0.500)
Fe (0.250, 0.250, 0.750)
Fe (0.250, 0.750, 0.250)
Fe (0.750, 0.250, 0.250)
Fe (0.750, 0.750, 0.750)

Values from the calculation:
- E: -5.8581 eV/atom
- Relative energy among the computed polymorphs: 0.4397 eV/atom
- ΔE_f: 0.7021 eV/atom

Computed, not measured: an optimized crystal structure of Mg3AsRh at the PBE level of DFT.

a = 4.853 Å, b = 4.853 Å, c = 4.853 Å
α = 90.00°, β = 90.00°, γ = 90.00°
Sites, in units of the cell vectors:
Mg (0.000, 0.000, 0.500)
Mg (0.000, 0.500, 0.000)
Mg (0.500, 0.000, 0.000)
As (0.500, 0.500, 0.500)
Rh (0.000, 0.000, 0.000)

Values from the calculation:
- E: -3.2971 eV/atom
- Relative energy among the computed polymorphs: 0.0000 eV/atom
- ΔE_f: 0.0599 eV/atom

Computed, not measured: an optimized crystal structure of ScAu4 at the PBE level of DFT.

a = 5.100 Å, b = 5.100 Å, c = 5.100 Å
α = 90.00°, β = 90.00°, γ = 90.00°
Sites, in units of the cell vectors:
Sc (0.000, 0.000, 0.000)
Au (0.000, 0.000, 0.500)
Au (0.000, 0.500, 0.000)
Au (0.500, 0.000, 0.000)
Au (0.500, 0.500, 0.500)

Values from the calculation:
- E: -3.2662 eV/atom
- ΔE_f: 0.6220 eV/atom

Computed, not measured: an optimized crystal structure of LiTl2AgI4 at the PBE level of DFT.

a = 9.317 Å, b = 9.317 Å, c = 9.248 Å
α = 119.63°, β = 119.63°, γ = 90.56°
Sites, in units of the cell vectors:
Li (0.000, 0.000, 0.000)
Li (0.000, 0.000, 0.500)
Tl (0.000, 0.500, 0.000)
Tl (0.500, 0.000, 0.500)
Tl (0.500, 0.500, 0.000)
Tl (0.500, 0.500, 0.500)
Ag (0.000, 0.500, 0.500)
Ag (0.500, 0.000, 0.000)
I (0.208, 0.232, 0.471)
I (0.232, 0.208, 0.971)
I (0.235, 0.763, 0.527)
I (0.237, 0.765, 0.973)
I (0.763, 0.235, 0.027)
I (0.765, 0.237, 0.473)
I (0.768, 0.792, 0.029)
I (0.792, 0.768, 0.529)

Values from the calculation:
- E_form (uncorrected): -641 meV per atom
- E: -2.6029 eV/atom